No. 1
## LaYW2 (PBE)

Data for an optimized crystal structure of LaYW2.

```
LaYW2
1.0
6.128 -0.007 0.002
2.919 5.388 -0.002
-3.941 -3.671 2.924
La W Y
1 2 1
direct
0.236 0.736 0.500
0.962 0.962 0.000
0.794 0.294 0.500
0.509 0.509 0.000
```

Results
- calculated density (g cm⁻³) = 10.2
- symmetry = Imm2 (44)
- crystal system = orthorhombic
- distance to the lowest polymorph of the same formula (meV per atom) = 166
- ΔH_f (0 K) (eV/atom) = 0.455
- total magnetization (μB per formula unit) = 0.00

---

No. 2
## DyPaTe2 (PBE)

Data for an optimized crystal structure of DyPaTe2.

```
DyPaTe2
1.0
3.951 0.000 0.000
1.976 3.422 0.000
1.976 1.141 10.209
Pa Te Dy
1 2 1
direct
0.500 0.500 0.500
0.098 0.098 0.705
0.902 0.902 0.295
0.000 0.000 0.000
```

Results
- calculated density (g cm⁻³) = 7.8
- symmetry = R-3m (166)
- crystal system = trigonal
- distance to the lowest polymorph of the same formula (meV per atom) = 384
- total magnetization (μB per formula unit) = 1.43
- formation energy without anion corrections (eV per formula unit) = -2.027